Si2As (PBE-GGA, relaxed); E_form (uncorrected) = 45 kJ/mol of atoms; final energy = -4.7037 eV/atom; offset from the most stable computed form = 0.91 eV/f.u.; symmetry = Pnnm (58)
1.0
5.210 0.000 0.000
0.000 6.432 0.000
0.000 0.000 3.452
Si As
4 2
Direct
0.171 0.122 0.000
0.329 0.622 0.500
0.671 0.378 0.500
0.829 0.878 0.000
0.000 0.500 0.000
0.500 0.000 0.500

---

K4PbBr (PBE-GGA, relaxed); E_form (uncorrected) = -8 kJ/mol of atoms; final energy = -1.7136 eV/atom; symmetry = F-43m (216)
1.0
0.000 5.199 5.199
5.199 0.000 5.199
5.199 5.199 0.000
K Pb Br
4 1 1
Direct
0.125 0.125 0.125
0.125 0.125 0.625
0.125 0.625 0.125
0.625 0.125 0.125
0.750 0.750 0.750
0.500 0.500 0.500

---

ScZnGa (PBE-GGA, relaxed); energy of formation from the pure elements = -394 meV/atom; final energy = -3.9377 eV/atom; symmetry = C2/m (12)
1.0
8.685 0.000 0.000
0.000 4.272 0.000
-1.338 0.000 5.747
Sc Zn Ga
4 4 4
Direct
0.153 0.000 0.315
0.347 0.500 0.685
0.653 0.500 0.315
0.847 0.000 0.685
0.174 0.000 0.832
0.326 0.500 0.168
0.674 0.500 0.832
0.826 0.000 0.168
0.000 0.500 0.000
0.000 0.500 0.500
0.500 0.000 0.000
0.500 0.000 0.500

---

Tb2ErTm3S6 (PBE-GGA, relaxed); E_form (uncorrected) = -189 kJ/mol of atoms; final energy = -6.2951 eV/atom; symmetry = C2/m (12)
1.0
8.441 -1.931 0.000
8.441 1.931 0.000
-1.842 0.000 7.562
Tb Er Tm S
2 1 3 6
Direct
0.167 0.167 0.335
0.833 0.833 0.665
0.500 0.500 0.000
0.168 0.168 0.833
0.500 0.500 0.500
0.832 0.832 0.167
0.002 0.002 0.750
0.333 0.333 0.923
0.335 0.335 0.412
0.665 0.665 0.588
0.667 0.667 0.077
0.998 0.998 0.250

---

Nb2ReRuN (PBE-GGA, relaxed); E_form (uncorrected) = 120 kJ/mol of atoms; final energy = -8.7940 eV/atom; symmetry = P4/mmm (123)
1.0
4.960 0.000 0.000
0.000 4.960 0.000
0.000 0.000 3.590
Nb Re Ru N
2 1 1 1
Direct
0.000 0.500 0.000
0.500 0.000 0.000
0.000 0.000 0.500
0.500 0.500 0.000
0.500 0.500 0.500

---

ErAgSn (PBE-GGA, relaxed); energy of formation from the pure elements = -566 meV/atom; final energy = -4.3715 eV/atom; symmetry = P6_3mc (186)
1.0
4.719 0.000 0.000
-2.359 4.087 0.000
0.000 0.000 7.346
Er Ag Sn
2 2 2
Direct
0.000 0.000 0.000
0.000 0.000 0.500
0.333 0.667 0.315
0.667 0.333 0.815
0.333 0.667 0.721
0.667 0.333 0.221

---

Ru2Pt2Rh3 (PBE-GGA, relaxed); energy of formation from the pure elements = 122 meV/atom; final energy = -7.4045 eV/atom; offset from the most stable computed form = 0.88 eV/f.u.; symmetry = Cmmm (65)
1.0
3.994 0.000 0.000
0.000 18.893 0.000
0.000 0.000 2.734
Ru Pt Rh
4 4 6
Direct
0.000 0.213 0.000
0.000 0.787 0.000
0.500 0.287 0.000
0.500 0.713 0.000
0.000 0.355 0.500
0.000 0.645 0.500
0.500 0.145 0.500
0.500 0.855 0.500
0.000 0.071 0.000
0.000 0.500 0.500
0.000 0.929 0.000
0.500 0.000 0.500
0.500 0.429 0.000
0.500 0.571 0.000

---

CdAgF2 (PBE-GGA, relaxed); E_form (uncorrected) = -115 kJ/mol of atoms; final energy = -3.0683 eV/atom; offset from the most stable computed form = 0.49 eV/f.u.; symmetry = I-42d (122)
1.0
5.528 0.000 0.000
0.000 5.528 0.000
0.000 0.000 10.600
Cd Ag F
4 4 8
Direct
0.000 0.000 0.000
0.000 0.500 0.250
0.500 0.000 0.750
0.500 0.500 0.500
0.000 0.000 0.500
0.000 0.500 0.750
0.500 0.000 0.250
0.500 0.500 0.000
0.222 0.250 0.125
0.250 0.722 0.375
0.250 0.778 0.875
0.278 0.250 0.625
0.722 0.750 0.625
0.750 0.222 0.875
0.750 0.278 0.375
0.778 0.750 0.125

---

Nd2TlSi (PBE-GGA, relaxed); E_form (uncorrected) = -40 kJ/mol of atoms; final energy = -4.7490 eV/atom; symmetry = P4/mmm (123)
1.0
3.904 0.000 0.000
0.000 3.904 0.000
0.000 0.000 7.002
Nd Tl Si
2 1 1
Direct
0.000 0.000 0.219
0.000 0.000 0.781
0.500 0.500 0.500
0.500 0.500 0.000

---

Sb2MoRu (PBE-GGA, relaxed); E_form (uncorrected) = 7 kJ/mol of atoms; final energy = -7.0172 eV/atom; offset from the most stable computed form = 0.00 eV/f.u.; symmetry = P4mm (99)
1.0
3.031 0.000 0.000
0.000 3.031 0.000
0.000 0.000 9.163
Sb Mo Ru
2 1 1
Direct
0.000 0.000 0.000
0.500 0.500 0.393
0.000 0.000 0.617
0.500 0.500 0.799

---

Li3BiO3 (PBE-GGA, relaxed); E_form (uncorrected) = -153 kJ/mol of atoms; final energy = -5.0900 eV/atom; offset from the most stable computed form = 0.48 eV/f.u.; symmetry = I4_1 (80)
1.0
-7.090 7.090 3.692
7.090 -7.090 3.692
7.090 7.090 -3.692
Li Bi O
24 8 24
Direct
0.014 0.143 0.987
0.021 0.821 0.778
0.044 0.244 0.222
0.074 0.669 0.868
0.133 0.031 0.626
0.155 0.026 0.013
0.191 0.818 0.561
0.257 0.383 0.602
0.258 0.630 0.439
0.380 0.441 0.872
0.390 0.995 0.385
0.405 0.507 0.374
0.419 0.050 0.095
0.568 0.508 0.128
0.571 0.294 0.300
0.610 0.005 0.615
0.745 0.860 0.105
0.755 0.640 0.895
0.776 0.264 0.371
0.781 0.655 0.398
0.800 0.206 0.132
0.893 0.405 0.629
0.956 0.324 0.905
0.994 0.271 0.700
0.178 0.086 0.309
0.356 0.669 0.144
0.419 0.775 0.813
0.525 0.212 0.856
0.619 0.428 0.592
0.777 0.869 0.691
0.836 0.027 0.408
0.962 0.606 0.187
0.041 0.063 0.134
0.041 0.345 0.083
0.072 0.156 0.667
0.095 0.512 0.803
0.153 0.715 0.375
0.154 0.322 0.416
0.262 0.959 0.917
0.282 0.999 0.218
0.340 0.777 0.625
0.361 0.105 0.654
0.451 0.707 0.346
0.457 0.611 0.757
0.465 0.590 0.062
0.488 0.404 0.333
0.527 0.403 0.938
0.657 0.291 0.478
0.709 0.291 0.197
0.749 0.031 0.217
0.781 0.065 0.782
0.813 0.179 0.522
0.815 0.532 0.783
0.855 0.701 0.243
0.906 0.738 0.584
0.929 0.907 0.866

---

AcZn6Ir2 (PBE-GGA, relaxed); energy of formation from the pure elements = -145 meV/atom; final energy = -3.4199 eV/atom; symmetry = Immm (71)
1.0
-2.141 3.359 5.694
2.141 -3.359 5.694
2.141 3.359 -5.694
Ac Zn Ir
1 6 2
Direct
0.000 0.000 0.000
0.088 0.288 0.800
0.326 0.500 0.826
0.488 0.288 0.200
0.512 0.712 0.800
0.674 0.500 0.174
0.912 0.712 0.200
0.376 0.876 0.500
0.624 0.124 0.500

---

PrNp3Tl4O12 (PBE-GGA, relaxed); E_form (uncorrected) = -222 kJ/mol of atoms; final energy = -7.9312 eV/atom; symmetry = Im-3m (229)
1.0
-4.378 4.378 4.378
4.378 -4.378 4.378
4.378 4.378 -4.378
Pr Np Tl O
1 3 4 12
Direct
0.000 0.000 0.000
0.000 0.500 0.500
0.500 0.000 0.500
0.500 0.500 0.000
0.000 0.000 0.500
0.000 0.500 0.000
0.500 0.000 0.000
0.500 0.500 0.500
0.000 0.272 0.272
0.000 0.728 0.728
0.250 0.500 0.750
0.250 0.750 0.500
0.272 0.000 0.272
0.272 0.272 0.000
0.500 0.250 0.750
0.500 0.750 0.250
0.728 0.000 0.728
0.728 0.728 0.000
0.750 0.250 0.500
0.750 0.500 0.250

---

BaSb4Mo (PBE-GGA, relaxed); E_form (uncorrected) = 39 kJ/mol of atoms; final energy = -4.4742 eV/atom; symmetry = F-43m (216)
1.0
0.000 4.513 4.513
4.513 0.000 4.513
4.513 4.513 0.000
Ba Sb Mo
1 4 1
Direct
0.000 0.000 0.000
0.376 0.376 0.376
0.376 0.376 0.871
0.376 0.871 0.376
0.871 0.376 0.376
0.750 0.750 0.750

---

TlBi3Rh (PBE-GGA, relaxed); energy of formation from the pure elements = -66 meV/atom; final energy = -4.3377 eV/atom; offset from the most stable computed form = 0.00 eV/f.u.; symmetry = P2_1/c (14)
1.0
9.016 0.000 0.000
0.000 7.006 0.000
-6.296 0.000 9.009
Tl Bi Rh
4 12 4
Direct
0.095 0.214 0.030
0.095 0.286 0.530
0.905 0.714 0.470
0.905 0.786 0.970
0.200 0.504 0.300
0.200 0.996 0.800
0.277 0.520 0.886
0.277 0.980 0.386
0.429 0.673 0.661
0.429 0.827 0.161
0.571 0.173 0.839
0.571 0.327 0.339
0.723 0.020 0.614
0.723 0.480 0.114
0.800 0.004 0.200
0.800 0.496 0.700
0.460 0.188 0.058
0.460 0.312 0.558
0.540 0.688 0.442
0.540 0.812 0.942

---

| no. | M_tot (μB per atom) |
| --- | --- |
| 1 | 0.000 |
| 2 | 0.189 |
| 3 | 0.000 |
| 4 | 0.000 |
| 5 | 0.000 |
| 6 | 0.000 |
| 7 | 0.000 |
| 8 | 0.000 |
| 9 | 0.000 |
| 10 | 0.000 |
| 11 | 0.000 |
| 12 | 0.000 |
| 13 | 0.200 |
| 14 | 0.765 |
| 15 | 0.000 |